Crystalline AcCd7Ag5 at its relaxed geometry, computed with PBE-GGA.

## Properties
SG: Imm2
VASP energy, eV/atom: -2.05
Crystal system: orthorhombic
DFT formation energy, eV/atom: -0.144

```
AcCd7Ag5
1.0
-2.8260 5.0524 4.9993
2.8260 -5.0524 4.9993
2.8260 5.0524 -4.9993
Ac Cd Ag
1 7 5
Direct
0.0000 0.0000 0.0000 Ac
0.2182 0.5063 0.7120 Cd
0.2261 0.7261 0.5000 Cd
0.3527 0.3527 0.0000 Cd
0.3621 0.0113 0.3508 Cd
0.6539 0.6539 0.0000 Cd
0.6605 0.0113 0.6492 Cd
0.7943 0.5063 0.2880 Cd
0.0062 0.0075 0.4985 Ag
0.0062 0.5077 0.9988 Ag
0.5090 0.0075 0.0012 Ag
0.5090 0.5077 0.5015 Ag
0.7905 0.2905 0.5000 Ag
```

Crystalline Ac5CdAg2 at its relaxed geometry, computed with PBE-GGA.

## Properties
SG: I4/mcm
VASP energy, eV/atom: -3.56
Crystal system: tetragonal
DFT formation energy, eV/atom: -0.170

```
Ac5CdAg2
1.0
-4.4251 4.4251 7.2396
4.4251 -4.4251 7.2396
4.4251 4.4251 -7.2396
Ac Cd Ag
10 2 4
Direct
0.0000 0.0000 0.0000 Ac
0.0096 0.5096 0.8133 Ac
0.1963 0.0096 0.5000 Ac
0.3037 0.8037 0.8133 Ac
0.4904 0.3037 0.5000 Ac
0.5000 0.5000 0.0000 Ac
0.5096 0.6963 0.5000 Ac
0.6963 0.1963 0.1867 Ac
0.8037 0.9904 0.5000 Ac
0.9904 0.4904 0.1867 Ac
0.2500 0.2500 0.0000 Cd
0.7500 0.7500 0.0000 Cd
0.1297 0.3703 0.5000 Ag
0.3703 0.8703 0.2406 Ag
0.6297 0.1297 0.7594 Ag
0.8703 0.6297 0.5000 Ag
```